Entry 1:
Zr2BeCd | SCAN | PBEsol geometry

Structure (CIF):
```
data_Zr2BeCd
_space_group_name_H-M_alt 'P 1'
_space_group_IT_number 1
_cell_length_a 4.765
_cell_length_b 4.765
_cell_length_c 4.765
_cell_angle_alpha 60.00
_cell_angle_beta 60.00
_cell_angle_gamma 60.00
loop_
_space_group_symop_operation_xyz
'x,y,z'
loop_
_atom_site_label
_atom_site_fract_x
_atom_site_fract_y
_atom_site_fract_z
Zr1 0.750 0.750 0.750
Zr2 0.000 0.000 0.000
Cd1 0.250 0.250 0.250
Be1 0.500 0.500 0.500
```

- space group = F-43m (216)
- distance to the lowest polymorph of the same formula (meV/atom) = 436
- ΔH_f (0 K) (eV per atom) = 0.3124

Entry 2:
ZrBeCd2 | SCAN | PBEsol geometry

Structure (CIF):
```
data_ZrBeCd2
_space_group_name_H-M_alt 'P 1'
_space_group_IT_number 1
_cell_length_a 2.769
_cell_length_b 5.308
_cell_length_c 5.757
_cell_angle_alpha 115.56
_cell_angle_beta 100.59
_cell_angle_gamma 97.07
loop_
_space_group_symop_operation_xyz
'x,y,z'
loop_
_atom_site_label
_atom_site_fract_x
_atom_site_fract_y
_atom_site_fract_z
Cd1 0.000 0.000 0.500
Cd2 0.500 0.500 0.500
Be1 0.000 0.500 0.000
Zr1 0.500 0.000 0.000
```

- space group = C2/m (12)
- ΔH_f (0 K) (eV per atom) = 0.1997

Entry 3:
CeBe13 | SCAN | PBEsol geometry

Structure (CIF):
```
data_CeBe13
_space_group_name_H-M_alt 'P 1'
_space_group_IT_number 1
_cell_length_a 7.226
_cell_length_b 7.226
_cell_length_c 7.226
_cell_angle_alpha 60.00
_cell_angle_beta 60.00
_cell_angle_gamma 60.00
loop_
_space_group_symop_operation_xyz
'x,y,z'
loop_
_atom_site_label
_atom_site_fract_x
_atom_site_fract_y
_atom_site_fract_z
Be1 0.939 0.061 0.290
Be2 0.500 0.500 0.500
Be3 0.439 0.210 0.790
Be4 0.939 0.710 0.061
Be5 0.790 0.439 0.210
Be6 0.210 0.561 0.790
Be7 0.439 0.790 0.561
Be8 0.561 0.439 0.790
Be9 0.061 0.710 0.290
Be10 0.710 0.939 0.290
Be11 0.939 0.290 0.710
Be12 0.790 0.210 0.561
Be13 0.561 0.790 0.210
Be14 0.210 0.439 0.561
Be15 0.290 0.061 0.710
Be16 0.290 0.710 0.939
Be17 0.061 0.939 0.710
Be18 0.439 0.561 0.210
Be19 0.561 0.210 0.439
Be20 0.061 0.290 0.939
Be21 0.710 0.061 0.939
Be22 0.790 0.561 0.439
Be23 0.710 0.290 0.061
Be24 0.290 0.939 0.061
Be25 0.210 0.790 0.439
Be26 0.000 0.000 0.000
Ce1 0.250 0.250 0.250
Ce2 0.750 0.750 0.750
```

- space group = Fm-3c (226)
- ΔH_f (0 K) (eV per atom) = -0.1369

Entry 4:
Ce3BeCrS7 | SCAN | PBEsol geometry

Structure (CIF):
```
data_Ce3BeCrS7
_space_group_name_H-M_alt 'P 1'
_space_group_IT_number 1
_cell_length_a 5.894
_cell_length_b 9.401
_cell_length_c 9.401
_cell_angle_alpha 120.00
_cell_angle_beta 90.00
_cell_angle_gamma 90.00
loop_
_space_group_symop_operation_xyz
'x,y,z'
loop_
_atom_site_label
_atom_site_fract_x
_atom_site_fract_y
_atom_site_fract_z
S1 0.806 0.773 0.877
S2 0.488 0.667 0.333
S3 0.306 0.896 0.773
S4 0.306 0.227 0.123
S5 0.988 0.333 0.667
S6 0.517 0.443 0.534
S7 0.806 0.123 0.896
S8 0.306 0.877 0.104
S9 0.806 0.104 0.227
S10 0.017 0.534 0.090
S11 0.517 0.090 0.557
S12 0.517 0.466 0.910
S13 0.017 0.910 0.443
S14 0.017 0.557 0.466
Cr1 0.059 0.000 0.000
Cr2 0.559 0.000 0.000
Ce1 0.227 0.620 0.792
Ce2 0.727 0.792 0.172
Ce3 0.227 0.172 0.380
Ce4 0.227 0.208 0.828
Ce5 0.727 0.828 0.620
Ce6 0.727 0.380 0.208
Be1 0.135 0.667 0.333
Be2 0.635 0.333 0.667
```

- space group = P6_3 (173)
- formation energy without anion corrections (eV per atom) = -1.82

Entry 5:
LaCeBe26 | SCAN | PBEsol geometry

Structure (CIF):
```
data_LaCeBe26
_space_group_name_H-M_alt 'P 1'
_space_group_IT_number 1
_cell_length_a 7.267
_cell_length_b 7.267
_cell_length_c 7.267
_cell_angle_alpha 60.00
_cell_angle_beta 60.00
_cell_angle_gamma 60.00
loop_
_space_group_symop_operation_xyz
'x,y,z'
loop_
_atom_site_label
_atom_site_fract_x
_atom_site_fract_y
_atom_site_fract_z
Be1 0.186 0.311 0.541
Be2 0.963 0.186 0.541
Be3 0.541 0.311 0.963
Be4 0.689 0.459 0.037
Be5 0.689 0.814 0.459
Be6 0.459 0.037 0.689
Be7 0.814 0.689 0.037
Be8 0.311 0.541 0.186
Be9 0.750 0.750 0.750
Be10 0.541 0.963 0.186
Be11 0.689 0.037 0.814
Be12 0.814 0.459 0.689
Be13 0.037 0.689 0.459
Be14 0.814 0.037 0.459
Be15 0.311 0.963 0.541
Be16 0.311 0.186 0.963
Be17 0.459 0.689 0.814
Be18 0.186 0.963 0.311
Be19 0.963 0.541 0.311
Be20 0.250 0.250 0.250
Be21 0.963 0.311 0.186
Be22 0.459 0.814 0.037
Be23 0.037 0.459 0.814
Be24 0.541 0.186 0.311
Be25 0.186 0.541 0.963
Be26 0.037 0.814 0.689
La1 0.500 0.500 0.500
Ce1 0.000 0.000 0.000
```

- space group = F432 (209)
- ΔH_f (0 K) (eV per atom) = -0.1320

Entry 6:
CeBeO3 | SCAN | PBEsol geometry

Structure (CIF):
```
data_CeBeO3
_space_group_name_H-M_alt 'P 1'
_space_group_IT_number 1
_cell_length_a 3.557
_cell_length_b 3.557
_cell_length_c 3.557
_cell_angle_alpha 90.00
_cell_angle_beta 90.00
_cell_angle_gamma 90.00
loop_
_space_group_symop_operation_xyz
'x,y,z'
loop_
_atom_site_label
_atom_site_fract_x
_atom_site_fract_y
_atom_site_fract_z
O1 0.500 0.500 0.000
O2 0.000 0.500 0.500
O3 0.500 0.000 0.500
Ce1 0.000 0.000 0.000
Be1 0.500 0.500 0.500
```

- space group = Pm-3m (221)
- formation energy without anion corrections (eV per atom) = -3.06

Entry 7:
Be3Cl | SCAN | PBEsol geometry

Structure (CIF):
```
data_Be3Cl
_space_group_name_H-M_alt 'P 1'
_space_group_IT_number 1
_cell_length_a 4.542
_cell_length_b 4.542
_cell_length_c 4.542
_cell_angle_alpha 90.00
_cell_angle_beta 90.00
_cell_angle_gamma 90.00
loop_
_space_group_symop_operation_xyz
'x,y,z'
loop_
_atom_site_label
_atom_site_fract_x
_atom_site_fract_y
_atom_site_fract_z
Be1 0.500 0.000 0.250
Be2 0.000 0.750 0.500
Be3 0.000 0.250 0.500
Be4 0.750 0.500 0.000
Be5 0.250 0.500 0.000
Be6 0.500 0.000 0.750
Cl1 0.000 0.000 0.000
Cl2 0.500 0.500 0.500
```

- space group = Pm-3n (223)
- formation energy without anion corrections (eV per atom) = 1.05
- distance to the lowest polymorph of the same formula (meV/atom) = 355

Entry 8:
BeCl5 | SCAN | PBEsol geometry

Structure (CIF):
```
data_BeCl5
_space_group_name_H-M_alt 'P 1'
_space_group_IT_number 1
_cell_length_a 3.141
_cell_length_b 6.703
_cell_length_c 7.459
_cell_angle_alpha 89.87
_cell_angle_beta 102.15
_cell_angle_gamma 90.00
loop_
_space_group_symop_operation_xyz
'x,y,z'
loop_
_atom_site_label
_atom_site_fract_x
_atom_site_fract_y
_atom_site_fract_z
Cl1 0.385 0.779 0.769
Cl2 0.947 0.279 0.894
Cl3 0.235 0.777 0.469
Cl4 0.656 0.276 0.311
Cl5 0.537 0.781 0.074
Be1 0.074 0.275 0.149
```

- space group = Cm (8)
- formation energy without anion corrections (eV per atom) = -0.59

no.,E (eV/cell)
1,-94.9
2,-95.1
3,-206.2
4,-491.3
5,-204.6
6,-82.9
7,-33.7
8,-47.8